Entry from the Alexandria database: a geometry-optimized Tl2As structure (PBE). Values from VASP.

Computed properties:
Total magnetization (μB/f.u.): 0.0
Symmetry: C2/m (12)
Volume (Å³/f.u.): 86
DFT formation energy (meV per atom): 20
Energy above the most stable polymorph in this dataset (meV per atom): 0

Geometry as Quantum ESPRESSO input:
```
&SYSTEM
  ibrav = 0, nat = 6, ntyp = 2
/
ATOMIC_SPECIES
Tl 204.38 Tl.upf
As 74.92 As.upf
CELL_PARAMETERS angstrom
5.987 -1.807 0.000
5.987 1.807 0.000
-3.100 0.000 7.949
ATOMIC_POSITIONS crystal
Tl 0.006 0.006 0.203
Tl 0.341 0.341 0.410
Tl 0.659 0.659 0.590
Tl 0.994 0.994 0.797
As 0.292 0.292 0.933
As 0.708 0.708 0.067
```


Entry from the Alexandria database: a geometry-optimized CdSO structure (PBE). Values from VASP.

Computed properties:
Total magnetization (μB/f.u.): 0.0
Symmetry: P2_1/c (14)
Volume (Å³/f.u.): 56
Formation energy without anion corrections (eV per atom): -0.466

Geometry as Quantum ESPRESSO input:
```
&SYSTEM
  ibrav = 0, nat = 12, ntyp = 3
/
ATOMIC_SPECIES
Cd 112.41 Cd.upf
S 32.06 S.upf
O 16.00 O.upf
CELL_PARAMETERS angstrom
9.055 0.000 0.000
0.000 3.657 0.000
-0.952 0.000 6.777
ATOMIC_POSITIONS crystal
Cd 0.139 0.024 0.365
Cd 0.139 0.476 0.865
Cd 0.861 0.524 0.135
Cd 0.861 0.976 0.635
S 0.463 0.199 0.074
S 0.463 0.301 0.574
S 0.537 0.699 0.426
S 0.537 0.801 0.926
O 0.134 0.521 0.184
O 0.134 0.979 0.684
O 0.866 0.021 0.316
O 0.866 0.479 0.816
```